Entry 1:
# AcGe2Pt5Pb PBE optimized geometry
data_AcGe2Pt5Pb
_chemical_formula_sum 'Ac1 Ge2 Pt5 Pb1'
_space_group_name_H-M_alt 'P 1'
_space_group_IT_number 1
_cell_length_a 4.138
_cell_length_b 4.138
_cell_length_c 11.757
_cell_angle_alpha 90.00
_cell_angle_beta 90.00
_cell_angle_gamma 90.00
loop_
_space_group_symop_operation_xyz
'x,y,z'
loop_
_atom_site_label
_atom_site_type_symbol
_atom_site_fract_x
_atom_site_fract_y
_atom_site_fract_z
Ac1 Ac 0.000 0.000 0.000
Ge1 Ge 0.500 0.500 0.209
Ge2 Ge 0.500 0.500 0.791
Pt1 Pt 0.000 0.500 0.322
Pt2 Pt 0.000 0.500 0.678
Pt3 Pt 0.500 0.000 0.322
Pt4 Pt 0.500 0.000 0.678
Pt5 Pt 0.500 0.500 0.000
Pb1 Pb 0.000 0.000 0.500
# - mass density (g/cm³) = 12.8
# - formation energy from the elements (eV per formula unit) = -4.7
# - V (A^3/atom) = 22.37
# - magnetization (μB per formula unit) = 0.0

---

Entry 2:
# KCo2Sb PBE optimized geometry
data_KCo2Sb
_chemical_formula_sum 'K1 Co2 Sb1'
_space_group_name_H-M_alt 'P 1'
_space_group_IT_number 1
_cell_length_a 3.220
_cell_length_b 3.220
_cell_length_c 8.027
_cell_angle_alpha 90.00
_cell_angle_beta 90.00
_cell_angle_gamma 90.00
loop_
_space_group_symop_operation_xyz
'x,y,z'
loop_
_atom_site_label
_atom_site_type_symbol
_atom_site_fract_x
_atom_site_fract_y
_atom_site_fract_z
K1 K 0.000 0.000 0.000
Co1 Co 0.000 0.000 0.564
Co2 Co 0.500 0.500 0.677
Sb1 Sb 0.500 0.500 0.361
# - offset from the most stable computed form (kcal/mol of atoms) = 5.30
# - mass density (g/cm³) = 5.6
# - V (A^3/atom) = 20.80
# - raw formation energy (eV per formula unit) = 1.3
# - magnetization (μB per formula unit) = 3.0

---

Entry 3:
# V6CoRh PBE optimized geometry
data_V6CoRh
_chemical_formula_sum 'V6 Co1 Rh1'
_space_group_name_H-M_alt 'P 1'
_space_group_IT_number 1
_cell_length_a 4.720
_cell_length_b 4.720
_cell_length_c 4.720
_cell_angle_alpha 90.00
_cell_angle_beta 90.00
_cell_angle_gamma 90.00
loop_
_space_group_symop_operation_xyz
'x,y,z'
loop_
_atom_site_label
_atom_site_type_symbol
_atom_site_fract_x
_atom_site_fract_y
_atom_site_fract_z
V1 V 0.000 0.246 0.500
V2 V 0.000 0.754 0.500
V3 V 0.246 0.500 0.000
V4 V 0.500 0.000 0.246
V5 V 0.500 0.000 0.754
V6 V 0.754 0.500 0.000
Co1 Co 0.000 0.000 0.000
Rh1 Rh 0.500 0.500 0.500
# - mass density (g/cm³) = 7.4
# - formation energy from the elements (eV per formula unit) = -2.0
# - V (A^3/atom) = 13.14
# - magnetization (μB per formula unit) = 0.0